[1]
The following is a DFT calculation (GGA-PBE) of a geometry-optimized Rb3Nd3AlTe8 structure. Values from VASP.

Values from the calculation:
E	-62.59	eV/cell
space-group type	R-3m, No. 166

```
&SYSTEM
  ibrav = 0, nat = 15, ntyp = 4
/
ATOMIC_SPECIES
Rb 85.47 Rb.upf
Nd 144.24 Nd.upf
Al 26.98 Al.upf
Te 127.60 Te.upf
CELL_PARAMETERS angstrom
4.478 2.585 8.893
-4.478 2.585 8.893
0.000 -5.171 8.893
ATOMIC_POSITIONS crystal
Rb 0.000 0.500 0.500
Rb 0.500 0.000 0.500
Rb 0.500 0.500 0.000
Nd 0.000 0.000 0.500
Nd 0.000 0.500 0.000
Nd 0.500 0.000 0.000
Al 0.500 0.500 0.500
Te 0.236 0.236 0.236
Te 0.260 0.715 0.715
Te 0.285 0.285 0.740
Te 0.285 0.740 0.285
Te 0.715 0.260 0.715
Te 0.715 0.715 0.260
Te 0.740 0.285 0.285
Te 0.764 0.764 0.764
```

***

[2]
The following is a DFT calculation (GGA-PBE) of a geometry-optimized NdAlRe structure. Values from VASP.

Values from the calculation:
space-group type	C2/m, No. 12
energy of formation from the pure elements	0.17	eV per atom

```
&SYSTEM
  ibrav = 0, nat = 12, ntyp = 3
/
ATOMIC_SPECIES
Nd 144.24 Nd.upf
Al 26.98 Al.upf
Re 186.21 Re.upf
CELL_PARAMETERS angstrom
11.356 0.000 0.000
0.000 3.456 0.000
-3.790 0.000 6.700
ATOMIC_POSITIONS crystal
Nd 0.136 0.000 0.267
Nd 0.364 0.500 0.733
Nd 0.636 0.500 0.267
Nd 0.864 0.000 0.733
Al 0.145 0.500 0.925
Al 0.355 0.000 0.075
Al 0.645 0.000 0.925
Al 0.855 0.500 0.075
Re 0.109 0.000 0.648
Re 0.391 0.500 0.352
Re 0.609 0.500 0.648
Re 0.891 0.000 0.352
```

***

[3]
The following is a DFT calculation (GGA-PBE) of a geometry-optimized NdAl3Re structure. Values from VASP.

Values from the calculation:
space-group type	Pm-3m, No. 221
energy of formation from the pure elements	-0.21	eV per atom

```
&SYSTEM
  ibrav = 0, nat = 5, ntyp = 3
/
ATOMIC_SPECIES
Nd 144.24 Nd.upf
Al 26.98 Al.upf
Re 186.21 Re.upf
CELL_PARAMETERS angstrom
4.785 0.000 0.000
0.000 4.785 0.000
0.000 0.000 4.785
ATOMIC_POSITIONS crystal
Nd 0.000 0.000 0.000
Al 0.000 0.500 0.500
Al 0.500 0.000 0.500
Al 0.500 0.500 0.000
Re 0.500 0.500 0.500
```

***

[4]
The following is a DFT calculation (GGA-PBE) of a geometry-optimized NdAl11Rh structure. Values from VASP.

Values from the calculation:
space-group type	C2/m, No. 12
energy of formation from the pure elements	-0.31	eV per atom

```
&SYSTEM
  ibrav = 0, nat = 13, ntyp = 3
/
ATOMIC_SPECIES
Nd 144.24 Nd.upf
Al 26.98 Al.upf
Rh 102.91 Rh.upf
CELL_PARAMETERS angstrom
2.595 -6.350 0.000
2.595 6.350 0.000
-2.354 0.000 6.850
ATOMIC_POSITIONS crystal
Nd 0.000 0.000 0.000
Al 0.000 0.000 0.500
Al 0.000 0.500 0.000
Al 0.007 0.357 0.359
Al 0.280 0.500 0.771
Al 0.357 0.007 0.359
Al 0.500 0.000 0.000
Al 0.500 0.280 0.771
Al 0.500 0.720 0.229
Al 0.643 0.993 0.641
Al 0.720 0.500 0.229
Al 0.993 0.643 0.641
Rh 0.500 0.500 0.500
```

***

[5]
The following is a DFT calculation (GGA-PBE) of a geometry-optimized NdAl2Rh2 structure. Values from VASP.

Values from the calculation:
space-group type	I4/mmm, No. 139
energy of formation from the pure elements	-0.87	eV per atom

```
&SYSTEM
  ibrav = 0, nat = 10, ntyp = 3
/
ATOMIC_SPECIES
Nd 144.24 Nd.upf
Al 26.98 Al.upf
Rh 102.91 Rh.upf
CELL_PARAMETERS angstrom
-2.122 2.122 10.391
2.122 -2.122 10.391
2.122 2.122 -10.391
ATOMIC_POSITIONS crystal
Nd 0.131 0.131 0.000
Nd 0.869 0.869 0.000
Al 0.000 0.500 0.500
Al 0.310 0.310 0.000
Al 0.500 0.000 0.500
Al 0.690 0.690 0.000
Rh 0.250 0.750 0.500
Rh 0.431 0.431 0.000
Rh 0.569 0.569 0.000
Rh 0.750 0.250 0.500
```

***

[6]
The following is a DFT calculation (GGA-PBE) of a geometry-optimized NdAl4Rh structure. Values from VASP.

Values from the calculation:
space-group type	P4/mbm, No. 127
energy of formation from the pure elements	-0.10	eV per atom

```
&SYSTEM
  ibrav = 0, nat = 12, ntyp = 3
/
ATOMIC_SPECIES
Nd 144.24 Nd.upf
Al 26.98 Al.upf
Rh 102.91 Rh.upf
CELL_PARAMETERS angstrom
6.355 0.000 0.000
0.000 6.355 0.000
0.000 0.000 7.018
ATOMIC_POSITIONS crystal
Nd 0.000 0.500 0.000
Nd 0.500 0.000 0.000
Al 0.000 0.000 0.169
Al 0.000 0.000 0.831
Al 0.162 0.338 0.500
Al 0.338 0.838 0.500
Al 0.500 0.500 0.169
Al 0.500 0.500 0.831
Al 0.662 0.162 0.500
Al 0.838 0.662 0.500
Rh 0.000 0.000 0.500
Rh 0.500 0.500 0.500
```

***

[7]
The following is a DFT calculation (GGA-PBE) of a geometry-optimized Nd2Al5Rh3 structure. Values from VASP.

Values from the calculation:
space-group type	Ibam, No. 72
energy of formation from the pure elements	-0.82	eV per atom

```
&SYSTEM
  ibrav = 0, nat = 20, ntyp = 3
/
ATOMIC_SPECIES
Nd 144.24 Nd.upf
Al 26.98 Al.upf
Rh 102.91 Rh.upf
CELL_PARAMETERS angstrom
-5.091 6.399 2.882
5.091 -6.399 2.882
5.091 6.399 -2.882
ATOMIC_POSITIONS crystal
Nd 0.142 0.224 0.366
Nd 0.358 0.724 0.082
Nd 0.642 0.276 0.918
Nd 0.858 0.776 0.634
Al 0.044 0.750 0.294
Al 0.087 0.671 0.758
Al 0.250 0.250 0.000
Al 0.413 0.171 0.585
Al 0.456 0.750 0.706
Al 0.544 0.250 0.294
Al 0.587 0.829 0.415
Al 0.750 0.750 0.000
Al 0.913 0.329 0.242
Al 0.956 0.250 0.706
Rh 0.146 0.907 0.054
Rh 0.250 0.750 0.500
Rh 0.354 0.407 0.761
Rh 0.646 0.593 0.239
Rh 0.750 0.250 0.500
Rh 0.854 0.093 0.946
```

***

[8]
The following is a DFT calculation (GGA-PBE) of a geometry-optimized Nd2Al3Rh structure. Values from VASP.

Values from the calculation:
space-group type	R-3m, No. 166
energy of formation from the pure elements	-0.63	eV per atom

```
&SYSTEM
  ibrav = 0, nat = 6, ntyp = 3
/
ATOMIC_SPECIES
Nd 144.24 Nd.upf
Al 26.98 Al.upf
Rh 102.91 Rh.upf
CELL_PARAMETERS angstrom
2.813 1.624 4.474
-2.813 1.624 4.474
0.000 -3.248 4.474
ATOMIC_POSITIONS crystal
Nd 0.125 0.125 0.125
Nd 0.875 0.875 0.875
Al 0.000 0.500 0.500
Al 0.500 0.000 0.500
Al 0.500 0.500 0.000
Rh 0.500 0.500 0.500
```

***

[9]
The following is a DFT calculation (GGA-PBE) of a geometry-optimized NdAl3Rh structure. Values from VASP.

Values from the calculation:
space-group type	P2_1/c, No. 14
energy of formation from the pure elements	-0.57	eV per atom
energy above the lowest structure with this stoichiometry	18.4	meV per atom

```
&SYSTEM
  ibrav = 0, nat = 20, ntyp = 3
/
ATOMIC_SPECIES
Nd 144.24 Nd.upf
Al 26.98 Al.upf
Rh 102.91 Rh.upf
CELL_PARAMETERS angstrom
8.441 0.000 0.000
0.000 5.466 0.000
-1.481 0.000 8.291
ATOMIC_POSITIONS crystal
Nd 0.128 0.120 0.214
Nd 0.128 0.380 0.714
Nd 0.872 0.620 0.286
Nd 0.872 0.880 0.786
Al 0.146 0.624 0.052
Al 0.146 0.876 0.552
Al 0.299 0.612 0.357
Al 0.299 0.888 0.857
Al 0.402 0.160 0.559
Al 0.402 0.340 0.059
Al 0.598 0.660 0.941
Al 0.598 0.840 0.441
Al 0.701 0.112 0.143
Al 0.701 0.388 0.643
Al 0.854 0.124 0.448
Al 0.854 0.376 0.948
Rh 0.456 0.651 0.651
Rh 0.456 0.849 0.151
Rh 0.544 0.151 0.849
Rh 0.544 0.349 0.349
```

***

[10]
The following is a DFT calculation (GGA-PBE) of a geometry-optimized Nd3Al9Rh2 structure. Values from VASP.

Values from the calculation:
space-group type	Immm, No. 71
energy of formation from the pure elements	-0.64	eV per atom

```
&SYSTEM
  ibrav = 0, nat = 14, ntyp = 3
/
ATOMIC_SPECIES
Nd 144.24 Nd.upf
Al 26.98 Al.upf
Rh 102.91 Rh.upf
CELL_PARAMETERS angstrom
-2.184 4.910 6.335
2.184 -4.910 6.335
2.184 4.910 -6.335
ATOMIC_POSITIONS crystal
Nd 0.000 0.000 0.000
Nd 0.298 0.298 0.000
Nd 0.702 0.702 0.000
Al 0.012 0.653 0.359
Al 0.156 0.874 0.282
Al 0.294 0.653 0.641
Al 0.409 0.126 0.282
Al 0.500 0.000 0.500
Al 0.591 0.874 0.718
Al 0.706 0.347 0.359
Al 0.844 0.126 0.718
Al 0.988 0.347 0.641
Rh 0.314 0.500 0.814
Rh 0.686 0.500 0.186
```

***

[11]
The following is a DFT calculation (GGA-PBE) of a geometry-optimized Nd4Al12Rh structure. Values from VASP.

Values from the calculation:
space-group type	Im-3m, No. 229
energy of formation from the pure elements	-0.53	eV per atom

```
&SYSTEM
  ibrav = 0, nat = 17, ntyp = 3
/
ATOMIC_SPECIES
Nd 144.24 Nd.upf
Al 26.98 Al.upf
Rh 102.91 Rh.upf
CELL_PARAMETERS angstrom
-4.399 4.399 4.399
4.399 -4.399 4.399
4.399 4.399 -4.399
ATOMIC_POSITIONS crystal
Nd 0.000 0.000 0.500
Nd 0.000 0.500 0.000
Nd 0.500 0.000 0.000
Nd 0.500 0.500 0.500
Al 0.000 0.287 0.287
Al 0.000 0.713 0.713
Al 0.250 0.500 0.750
Al 0.250 0.750 0.500
Al 0.287 0.000 0.287
Al 0.287 0.287 0.000
Al 0.500 0.250 0.750
Al 0.500 0.750 0.250
Al 0.713 0.000 0.713
Al 0.713 0.713 0.000
Al 0.750 0.250 0.500
Al 0.750 0.500 0.250
Rh 0.000 0.000 0.000
```

***

[12]
The following is a DFT calculation (GGA-PBE) of a geometry-optimized NdAl10Rh2 structure. Values from VASP.

Values from the calculation:
space-group type	Cmcm, No. 63
energy of formation from the pure elements	-0.57	eV per atom

```
&SYSTEM
  ibrav = 0, nat = 26, ntyp = 3
/
ATOMIC_SPECIES
Nd 144.24 Nd.upf
Al 26.98 Al.upf
Rh 102.91 Rh.upf
CELL_PARAMETERS angstrom
4.534 -5.165 0.000
4.534 5.165 0.000
0.000 0.000 9.218
ATOMIC_POSITIONS crystal
Nd 0.127 0.873 0.750
Nd 0.873 0.127 0.250
Al 0.141 0.404 0.750
Al 0.156 0.844 0.102
Al 0.156 0.844 0.398
Al 0.223 0.223 0.000
Al 0.223 0.223 0.500
Al 0.225 0.481 0.250
Al 0.379 0.621 0.551
Al 0.379 0.621 0.949
Al 0.404 0.141 0.250
Al 0.481 0.225 0.750
Al 0.519 0.775 0.250
Al 0.596 0.859 0.750
Al 0.621 0.379 0.051
Al 0.621 0.379 0.449
Al 0.775 0.519 0.750
Al 0.777 0.777 0.000
Al 0.777 0.777 0.500
Al 0.844 0.156 0.602
Al 0.844 0.156 0.898
Al 0.859 0.596 0.250
Rh 0.000 0.500 0.000
Rh 0.000 0.500 0.500
Rh 0.500 0.000 0.000
Rh 0.500 0.000 0.500
```

***

[13]
The following is a DFT calculation (GGA-PBE) of a geometry-optimized Nd2Al9Rh3 structure. Values from VASP.

Values from the calculation:
space-group type	C2/c, No. 15
energy of formation from the pure elements	-0.82	eV per atom

```
&SYSTEM
  ibrav = 0, nat = 28, ntyp = 3
/
ATOMIC_SPECIES
Nd 144.24 Nd.upf
Al 26.98 Al.upf
Rh 102.91 Rh.upf
CELL_PARAMETERS angstrom
6.640 -3.802 0.000
6.640 3.802 0.000
-4.452 0.000 9.634
ATOMIC_POSITIONS crystal
Nd 0.086 0.252 0.250
Nd 0.252 0.086 0.750
Nd 0.748 0.914 0.250
Nd 0.914 0.748 0.750
Al 0.025 0.856 0.073
Al 0.144 0.975 0.427
Al 0.193 0.358 0.570
Al 0.214 0.580 0.252
Al 0.317 0.485 0.951
Al 0.358 0.193 0.070
Al 0.371 0.629 0.750
Al 0.420 0.786 0.248
Al 0.485 0.317 0.451
Al 0.515 0.683 0.549
Al 0.580 0.214 0.752
Al 0.629 0.371 0.250
Al 0.642 0.807 0.930
Al 0.683 0.515 0.049
Al 0.786 0.420 0.748
Al 0.807 0.642 0.430
Al 0.856 0.025 0.573
Al 0.975 0.144 0.927
Rh 0.000 0.500 0.000
Rh 0.158 0.671 0.499
Rh 0.329 0.842 0.001
Rh 0.500 0.000 0.500
Rh 0.671 0.158 0.999
Rh 0.842 0.329 0.501
```

***

[14]
The following is a DFT calculation (GGA-PBE) of a geometry-optimized NdAl3Rh structure. Values from VASP.

Values from the calculation:
space-group type	P6_3/mmc, No. 194
energy of formation from the pure elements	-0.59	eV per atom
energy above the lowest structure with this stoichiometry	0.0	meV per atom

```
&SYSTEM
  ibrav = 0, nat = 20, ntyp = 3
/
ATOMIC_SPECIES
Nd 144.24 Nd.upf
Al 26.98 Al.upf
Rh 102.91 Rh.upf
CELL_PARAMETERS angstrom
6.419 0.000 0.000
-3.210 5.559 0.000
0.000 0.000 11.267
ATOMIC_POSITIONS crystal
Nd 0.000 0.000 0.000
Nd 0.000 0.000 0.500
Nd 0.333 0.667 0.250
Nd 0.667 0.333 0.750
Al 0.000 0.500 0.000
Al 0.000 0.500 0.500
Al 0.141 0.282 0.750
Al 0.141 0.859 0.750
Al 0.282 0.141 0.250
Al 0.500 0.000 0.000
Al 0.500 0.000 0.500
Al 0.500 0.500 0.000
Al 0.500 0.500 0.500
Al 0.718 0.859 0.750
Al 0.859 0.141 0.250
Al 0.859 0.718 0.250
Rh 0.333 0.667 0.626
Rh 0.333 0.667 0.874
Rh 0.667 0.333 0.126
Rh 0.667 0.333 0.374
```

***

[15]
The following is a DFT calculation (GGA-PBE) of a geometry-optimized NdAl6Rh structure. Values from VASP.

Values from the calculation:
space-group type	P4/mmm, No. 123
energy of formation from the pure elements	-0.51	eV per atom

```
&SYSTEM
  ibrav = 0, nat = 8, ntyp = 3
/
ATOMIC_SPECIES
Nd 144.24 Nd.upf
Al 26.98 Al.upf
Rh 102.91 Rh.upf
CELL_PARAMETERS angstrom
4.231 0.000 0.000
0.000 4.231 0.000
0.000 0.000 8.547
ATOMIC_POSITIONS crystal
Nd 0.000 0.000 0.000
Al 0.000 0.500 0.336
Al 0.000 0.500 0.664
Al 0.500 0.000 0.336
Al 0.500 0.000 0.664
Al 0.500 0.500 0.146
Al 0.500 0.500 0.854
Rh 0.000 0.000 0.500
```

***

[16]
The following is a DFT calculation (GGA-PBE) of a geometry-optimized Nd2AlRh2 structure. Values from VASP.

Values from the calculation:
space-group type	C2/c, No. 15
energy of formation from the pure elements	-0.79	eV per atom

```
&SYSTEM
  ibrav = 0, nat = 10, ntyp = 3
/
ATOMIC_SPECIES
Nd 144.24 Nd.upf
Al 26.98 Al.upf
Rh 102.91 Rh.upf
CELL_PARAMETERS angstrom
5.131 -2.838 0.000
5.131 2.838 0.000
-1.824 0.000 7.464
ATOMIC_POSITIONS crystal
Nd 0.007 0.288 0.149
Nd 0.288 0.007 0.649
Nd 0.712 0.993 0.351
Nd 0.993 0.712 0.851
Al 0.376 0.624 0.250
Al 0.624 0.376 0.750
Rh 0.235 0.502 0.493
Rh 0.498 0.765 0.007
Rh 0.502 0.235 0.993
Rh 0.765 0.498 0.507
```

***

[17]
The following is a DFT calculation (GGA-PBE) of a geometry-optimized Nd2Al9Rh3 structure. Values from VASP.

Values from the calculation:
space-group type	Cmcm, No. 63
energy of formation from the pure elements	-0.82	eV per atom

```
&SYSTEM
  ibrav = 0, nat = 28, ntyp = 3
/
ATOMIC_SPECIES
Nd 144.24 Nd.upf
Al 26.98 Al.upf
Rh 102.91 Rh.upf
CELL_PARAMETERS angstrom
6.566 -3.847 0.000
6.566 3.847 0.000
0.000 0.000 9.610
ATOMIC_POSITIONS crystal
Nd 0.005 0.672 0.750
Nd 0.328 0.995 0.750
Nd 0.672 0.005 0.250
Nd 0.995 0.328 0.250
Al 0.003 0.664 0.074
Al 0.003 0.664 0.426
Al 0.131 0.869 0.250
Al 0.334 0.666 0.546
Al 0.334 0.666 0.954
Al 0.336 0.997 0.074
Al 0.336 0.997 0.426
Al 0.340 0.452 0.250
Al 0.452 0.340 0.750
Al 0.548 0.660 0.250
Al 0.660 0.548 0.750
Al 0.664 0.003 0.574
Al 0.664 0.003 0.926
Al 0.666 0.334 0.046
Al 0.666 0.334 0.454
Al 0.869 0.131 0.750
Al 0.997 0.336 0.574
Al 0.997 0.336 0.926
Rh 0.000 0.000 0.000
Rh 0.000 0.000 0.500
Rh 0.329 0.329 0.000
Rh 0.329 0.329 0.500
Rh 0.671 0.671 0.000
Rh 0.671 0.671 0.500
```

***

[18]
The following is a DFT calculation (GGA-PBE) of a geometry-optimized Nd8Al2Rh structure. Values from VASP.

Values from the calculation:
space-group type	C2/m, No. 12
energy of formation from the pure elements	-0.25	eV per atom

```
&SYSTEM
  ibrav = 0, nat = 11, ntyp = 3
/
ATOMIC_SPECIES
Nd 144.24 Nd.upf
Al 26.98 Al.upf
Rh 102.91 Rh.upf
CELL_PARAMETERS angstrom
9.355 -2.584 0.000
9.355 2.584 0.000
-1.468 0.000 6.738
ATOMIC_POSITIONS crystal
Nd 0.021 0.021 0.278
Nd 0.208 0.208 0.796
Nd 0.349 0.349 0.534
Nd 0.407 0.407 0.048
Nd 0.593 0.593 0.952
Nd 0.651 0.651 0.466
Nd 0.792 0.792 0.204
Nd 0.979 0.979 0.722
Al 0.188 0.188 0.242
Al 0.812 0.812 0.758
Rh 0.500 0.500 0.500
```